1.
# Cu5RhO8

Cu5RhO8 after structural relaxation (PBE-GGA, Alexandria via LeMat-Bulk).

Structure (extended XYZ):
```
14
Lattice="0.000 4.202 4.202 4.202 0.000 4.202 4.202 4.202 0.000" Properties=species:S:1:pos:R:3 pbc="T T T"
Cu 0.000 0.000 0.000
Cu 5.268 3.136 3.136
Cu 3.136 5.268 3.136
Cu 3.136 3.136 5.268
Cu 5.268 5.268 5.268
Rh 2.101 2.101 2.101
O 3.226 3.226 3.226
O 5.178 5.178 3.226
O 5.178 3.226 5.178
O 7.283 5.323 5.323
O 3.226 5.178 5.178
O 5.323 7.283 5.323
O 5.323 5.323 7.283
O 7.283 7.283 7.283
```

Computed properties:
space-group type: No. 216
density of states at the Fermi level: 0.63 states/eV/atom
raw formation energy: -9.9 kcal/mol of atoms


2.
# CuRhO2

CuRhO2 after structural relaxation (PBE-GGA, Alexandria via LeMat-Bulk).

Structure (extended XYZ):
```
4
Lattice="0.000 2.697 2.697 2.697 0.000 2.697 2.697 2.697 0.000" Properties=species:S:1:pos:R:3 pbc="T T T"
Cu 0.000 0.000 0.000
Rh 2.697 2.697 2.697
O 1.348 1.348 1.348
O 4.045 4.045 4.045
```

Computed properties:
space-group type: No. 225
density of states at the Fermi level: 0.65 states/eV/atom
raw formation energy: 2.2 kcal/mol of atoms